The following is a DFT calculation (PBE+U) of Eu2Cr2O5 after structural relaxation.

Unit cell a=8.799 b=8.799 c=8.799 alpha=53.23 beta=142.61 gamma=143.53
Atoms (fractional coordinates):
1 Eu 0.014 0.110 0.124
2 Eu 0.014 0.390 0.405
3 Eu 0.986 0.610 0.595
4 Eu 0.986 0.890 0.876
5 Cr 0.482 0.781 0.201
6 Cr 0.496 0.496 0.000
7 Cr 0.496 0.996 0.500
8 Cr 0.581 0.281 0.799
9 O 0.009 0.648 0.861
10 O 0.432 0.116 0.577
11 O 0.432 0.355 0.816
12 O 0.503 0.236 0.240
13 O 0.503 0.763 0.767
14 O 0.539 0.616 0.184
15 O 0.539 0.855 0.423
16 O 0.787 0.148 0.139
17 O 0.996 0.263 0.760
18 O 0.996 0.736 0.233

## Properties
Final energy (eV/atom): -9.0345
DOS at the Fermi energy (states/eV/atom): 2.473

***

The following is a DFT calculation (PBE+U) of EuCrO2 after structural relaxation.

Unit cell a=2.859 b=2.859 c=5.765 alpha=90.00 beta=90.00 gamma=90.00
Atoms (fractional coordinates):
1 Eu 0.000 0.000 0.000
2 Cr 0.000 0.000 0.500
3 O 0.500 0.500 0.278
4 O 0.500 0.500 0.722

## Properties
Final energy (eV/atom): -7.8780
DOS at the Fermi energy (states/eV/atom): 1.293

***

The following is a DFT calculation (PBE+U) of PrEuZrCrO6 after structural relaxation.

Unit cell a=5.715 b=5.715 c=5.715 alpha=60.00 beta=60.00 gamma=60.00
Atoms (fractional coordinates):
1 Pr 0.000 0.000 0.000
2 Eu 0.500 0.500 0.500
3 Zr 0.250 0.250 0.250
4 Cr 0.750 0.750 0.750
5 O 0.506 0.506 0.994
6 O 0.506 0.994 0.506
7 O 0.506 0.994 0.994
8 O 0.994 0.506 0.506
9 O 0.994 0.506 0.994
10 O 0.994 0.994 0.506

## Properties
Final energy (eV/atom): -8.9179
DOS at the Fermi energy (states/eV/atom): 1.470

***

The following is a DFT calculation (PBE+U) of Eu2CrSnO6 after structural relaxation.

Unit cell a=5.656 b=5.656 c=5.656 alpha=60.00 beta=60.00 gamma=60.00
Atoms (fractional coordinates):
1 Eu 0.250 0.250 0.250
2 Eu 0.750 0.750 0.750
3 Cr 0.000 0.000 0.000
4 Sn 0.500 0.500 0.500
5 O 0.246 0.246 0.754
6 O 0.246 0.754 0.246
7 O 0.246 0.754 0.754
8 O 0.754 0.246 0.246
9 O 0.754 0.246 0.754
10 O 0.754 0.754 0.246

## Properties
Final energy (eV/atom): -8.4340
DOS at the Fermi energy (states/eV/atom): 1.813

***

The following is a DFT calculation (PBE+U) of SrEuCrWO6 after structural relaxation.

Unit cell a=5.651 b=5.651 c=5.651 alpha=60.00 beta=60.00 gamma=60.00
Atoms (fractional coordinates):
1 Sr 0.000 0.000 0.000
2 Eu 0.500 0.500 0.500
3 Cr 0.750 0.750 0.750
4 W 0.250 0.250 0.250
5 O 0.501 0.501 0.999
6 O 0.501 0.999 0.501
7 O 0.501 0.999 0.999
8 O 0.999 0.501 0.501
9 O 0.999 0.501 0.999
10 O 0.999 0.999 0.501

## Properties
Final energy (eV/atom): -8.0063
DOS at the Fermi energy (states/eV/atom): 1.861

***

The following is a DFT calculation (PBE+U) of SrEuZrCrO6 after structural relaxation.

Unit cell a=5.703 b=5.703 c=5.703 alpha=60.00 beta=60.00 gamma=60.00
Atoms (fractional coordinates):
1 Sr 0.000 0.000 0.000
2 Eu 0.500 0.500 0.500
3 Zr 0.750 0.750 0.750
4 Cr 0.250 0.250 0.250
5 O 0.008 0.008 0.492
6 O 0.008 0.492 0.008
7 O 0.008 0.492 0.492
8 O 0.492 0.008 0.008
9 O 0.492 0.008 0.492
10 O 0.492 0.492 0.008

## Properties
Final energy (eV/atom): -8.5067
DOS at the Fermi energy (states/eV/atom): 0.777

***

The following is a DFT calculation (PBE+U) of Eu2ZrCrO6 after structural relaxation.

Unit cell a=5.701 b=5.701 c=5.701 alpha=60.00 beta=60.00 gamma=60.00
Atoms (fractional coordinates):
1 Eu 0.250 0.250 0.250
2 Eu 0.750 0.750 0.750
3 Zr 0.000 0.000 0.000
4 Cr 0.500 0.500 0.500
5 O 0.257 0.257 0.743
6 O 0.257 0.743 0.257
7 O 0.257 0.743 0.743
8 O 0.743 0.257 0.257
9 O 0.743 0.257 0.743
10 O 0.743 0.743 0.257

## Properties
Final energy (eV/atom): -9.4007
DOS at the Fermi energy (states/eV/atom): 1.810